No. 1
Material: KSb2Au
Method: DFT, PBE
State: optimized geometry

## Properties
Formation energy without anion corrections, kcal/mol of atoms: 3.12
Polymorph energy (0 for the lowest one), meV per atom: 447

a b c (Å): 5.302 5.302 5.302
angles (deg): 60.00 60.00 60.00
Element x y z (fractional)
1 Sb 0.250 0.250 0.250
2 Sb 0.750 0.750 0.750
3 Au 0.500 0.500 0.500
4 K 0.000 0.000 0.000


No. 2
Material: KSb3Au
Method: DFT, PBE
State: optimized geometry

## Properties
Formation energy without anion corrections, kcal/mol of atoms: 4.41
Polymorph energy (0 for the lowest one), meV per atom: 414

a b c (Å): 5.549 5.549 5.549
angles (deg): 90.00 90.00 90.00
Element x y z (fractional)
1 Sb 0.000 0.500 0.000
2 Sb 0.000 0.000 0.500
3 Sb 0.500 0.000 0.000
4 Au 0.000 0.000 0.000
5 K 0.500 0.500 0.500


No. 3
Material: KSb12Au4
Method: DFT, PBE
State: optimized geometry

## Properties
Formation energy without anion corrections, kcal/mol of atoms: -1.75

a b c (Å): 8.598 8.598 8.598
angles (deg): 109.47 109.47 109.47
Element x y z (fractional)
1 Sb 0.649 0.498 0.849
2 Sb 0.151 0.649 0.799
3 Sb 0.649 0.799 0.151
4 Sb 0.351 0.201 0.849
5 Sb 0.502 0.151 0.351
6 Sb 0.351 0.502 0.151
7 Sb 0.849 0.649 0.498
8 Sb 0.201 0.849 0.351
9 Sb 0.498 0.849 0.649
10 Sb 0.849 0.351 0.201
11 Sb 0.151 0.351 0.502
12 Sb 0.799 0.151 0.649
13 Au 0.500 0.500 0.500
14 Au 0.000 0.500 0.000
15 Au 0.000 0.000 0.500
16 Au 0.500 0.000 0.000
17 K 0.000 0.000 0.000